No. 1
Computed, not measured: Zr3GeF at its PBEsol-relaxed geometry at the meta-GGA SCAN level of DFT.

* formation energy (no corrections): 333 meV per atom
* total magnetic moment: 4.88 μB per formula unit
* crystal system: cubic
* space-group type: No. 221

```
Zr3GeF
1.0
5.021 0.000 0.000
0.000 5.021 0.000
0.000 0.000 5.021
Zr Ge F
3 1 1
Cartesian
0.000 2.510 0.000
2.510 0.000 0.000
0.000 0.000 2.510
0.000 0.000 0.000
2.510 2.510 2.510
```



No. 2
Computed, not measured: H3F2 at its PBEsol-relaxed geometry at the meta-GGA SCAN level of DFT.

* E_tot: -4.7414 eV per atom
* total magnetic moment: 0.03 μB per formula unit
* crystal system: triclinic
* space-group type: No. 1

```
H3F2
1.0
4.021 -0.077 -0.072
1.163 3.852 -0.067
1.297 0.921 5.678
F H
4 6
Cartesian
4.770 1.732 4.030
3.354 0.707 1.505
2.754 0.845 4.773
4.815 2.356 0.762
4.158 1.608 1.108
3.667 1.242 4.427
4.646 3.554 1.147
2.992 3.263 2.947
1.666 1.375 4.391
2.446 2.870 2.597
```



Q: Which of these has the lowest total magnetic moment?
A: H3F2



Q: Which of these has the highest total magnetic moment?
A: Zr3GeF



Q: total magnetic moment of number 1 (Zr3GeF)?
A: 4.88 μB per formula unit